# Na2Ti9O19

A PBEsol-optimized structure of Na2Ti9O19 (SCAN, Alexandria via LeMat-Bulk).

a = 6.371 Å, b = 6.371 Å, c = 15.616 Å
α = 103.37°, β = 103.37°, γ = 34.49°
Positions (direct):
Na: 0.171 0.171 0.463
Na: 0.829 0.829 0.537
Ti: 0.288 0.288 0.297
Ti: 0.311 0.311 0.882
Ti: 0.390 0.390 0.120
Ti: 0.418 0.418 0.709
Ti: 0.500 0.500 0.500
Ti: 0.582 0.582 0.291
Ti: 0.610 0.610 0.880
Ti: 0.689 0.689 0.118
Ti: 0.712 0.712 0.703
O: 0.000 0.000 0.500
O: 0.123 0.123 0.295
O: 0.146 0.146 0.878
O: 0.227 0.227 0.144
O: 0.253 0.253 0.729
O: 0.344 0.344 0.414
O: 0.365 0.365 0.998
O: 0.412 0.412 0.591
O: 0.423 0.423 0.258
O: 0.452 0.452 0.848
O: 0.548 0.548 0.152
O: 0.577 0.577 0.742
O: 0.588 0.588 0.409
O: 0.635 0.635 0.002
O: 0.656 0.656 0.586
O: 0.747 0.747 0.271
O: 0.773 0.773 0.856
O: 0.854 0.854 0.122
O: 0.877 0.877 0.705

Calculated values
E above lowest polymorph (meV/atom): 0

# Cr2SbCl

A PBEsol-optimized structure of Cr2SbCl (SCAN, Alexandria via LeMat-Bulk).

a = 5.010 Å, b = 5.010 Å, c = 3.232 Å
α = 100.01°, β = 100.01°, γ = 89.66°
Positions (direct):
Cr: 0.000 0.500 0.000
Cr: 0.500 0.000 0.000
Sb: 0.000 0.000 0.500
Cl: 0.500 0.500 0.500

Calculated values
E above lowest polymorph (meV/atom): 168

# BiRuBr2

A PBEsol-optimized structure of BiRuBr2 (SCAN, Alexandria via LeMat-Bulk).

a = 10.085 Å, b = 10.085 Å, c = 10.085 Å
α = 18.70°, β = 18.70°, γ = 18.70°
Positions (direct):
Bi: 0.000 0.000 0.000
Ru: 0.500 0.500 0.500
Br: 0.421 0.421 0.421
Br: 0.579 0.579 0.579

Calculated values
E above lowest polymorph (meV/atom): 0

# Zr6Be15Ni8

A PBEsol-optimized structure of Zr6Be15Ni8 (SCAN, Alexandria via LeMat-Bulk).

a = 7.727 Å, b = 7.727 Å, c = 7.727 Å
α = 60.00°, β = 60.00°, γ = 60.00°
Positions (direct):
Zr: 0.211 0.211 0.789
Zr: 0.211 0.789 0.211
Zr: 0.211 0.789 0.789
Zr: 0.789 0.211 0.211
Zr: 0.789 0.211 0.789
Zr: 0.789 0.789 0.211
Be: 0.000 0.000 0.500
Be: 0.000 0.500 0.000
Be: 0.000 0.500 0.500
Be: 0.177 0.177 0.177
Be: 0.177 0.177 0.468
Be: 0.177 0.468 0.177
Be: 0.468 0.177 0.177
Be: 0.500 0.000 0.000
Be: 0.500 0.000 0.500
Be: 0.500 0.500 0.000
Be: 0.500 0.500 0.500
Be: 0.532 0.823 0.823
Be: 0.823 0.532 0.823
Be: 0.823 0.823 0.532
Be: 0.823 0.823 0.823
Ni: 0.128 0.624 0.624
Ni: 0.376 0.376 0.376
Ni: 0.376 0.376 0.872
Ni: 0.376 0.872 0.376
Ni: 0.624 0.128 0.624
Ni: 0.624 0.624 0.128
Ni: 0.624 0.624 0.624
Ni: 0.872 0.376 0.376

Calculated values
E (eV/atom): -13.50

# KFeBr

A PBEsol-optimized structure of KFeBr (SCAN, Alexandria via LeMat-Bulk).

a = 6.816 Å, b = 6.816 Å, c = 6.816 Å
α = 151.41°, β = 151.41°, γ = 40.87°
Positions (direct):
K: 0.000 0.000 0.000
Fe: 0.289 0.289 0.000
Br: 0.686 0.686 0.000

Calculated values
E (eV/atom): -15.23

# MnS

A PBEsol-optimized structure of MnS (SCAN, Alexandria via LeMat-Bulk).

a = 3.493 Å, b = 3.493 Å, c = 3.493 Å
α = 60.00°, β = 60.00°, γ = 60.00°
Positions (direct):
Mn: 0.000 0.000 0.000
S: 0.500 0.500 0.500

Calculated values
E (eV/atom): -14.92

Please write out number 1 again, unchanged.
# Na2Ti9O19

A PBEsol-optimized structure of Na2Ti9O19 (SCAN, Alexandria via LeMat-Bulk).

a = 6.371 Å, b = 6.371 Å, c = 15.616 Å
α = 103.37°, β = 103.37°, γ = 34.49°
Positions (direct):
Na: 0.171 0.171 0.463
Na: 0.829 0.829 0.537
Ti: 0.288 0.288 0.297
Ti: 0.311 0.311 0.882
Ti: 0.390 0.390 0.120
Ti: 0.418 0.418 0.709
Ti: 0.500 0.500 0.500
Ti: 0.582 0.582 0.291
Ti: 0.610 0.610 0.880
Ti: 0.689 0.689 0.118
Ti: 0.712 0.712 0.703
O: 0.000 0.000 0.500
O: 0.123 0.123 0.295
O: 0.146 0.146 0.878
O: 0.227 0.227 0.144
O: 0.253 0.253 0.729
O: 0.344 0.344 0.414
O: 0.365 0.365 0.998
O: 0.412 0.412 0.591
O: 0.423 0.423 0.258
O: 0.452 0.452 0.848
O: 0.548 0.548 0.152
O: 0.577 0.577 0.742
O: 0.588 0.588 0.409
O: 0.635 0.635 0.002
O: 0.656 0.656 0.586
O: 0.747 0.747 0.271
O: 0.773 0.773 0.856
O: 0.854 0.854 0.122
O: 0.877 0.877 0.705

Calculated values
E above lowest polymorph (meV/atom): 0